Material: Li2Fe3TeO8
Method: DFT, GGA+U
State: optimized geometry

Calculated values
- DFT total energy (eV/f.u.) = -82.69
- offset from the most stable computed form (meV per atom) = 153

a b c (Å): 5.9708 6.0541 10.3667
angles (deg): 106.11 89.80 61.05
Last column: nearest neighbours and their distance in Å.
Fractional coordinates of all 28 atoms:
O 0.6234 0.2805 0.6450  1 Te 1.96, 1 Li 2.01, 1 Fe 2.09
O 0.1301 0.7421 0.1372  1 Te 1.99, 1 Li 2.03, 2 Fe 2.05-2.07
Fe 0.2441 0.0080 0.7540  6 O 2.05-2.18
O 0.4095 0.2004 0.8803  3 Fe 1.90-2.08, 1 Li 1.98
Li 0.2078 0.5933 0.9307  4 O 1.98-2.06
O 0.8440 0.7581 0.8764  2 Fe 1.99-2.12, 1 Te 2.01, 1 Li 2.06
O 0.0855 0.8052 0.6356  1 Li 1.93, 3 Fe 1.96-2.05
O 0.9093 0.1822 0.3466  3 Fe 1.92-2.09, 1 Li 2.06
O 0.6033 0.2375 0.1312  1 Te 2.00, 2 Fe 2.01-2.03, 1 Li 2.06
Fe 0.5046 0.9962 0.0010  6 O 1.90-2.02
Li 0.2845 0.4208 0.5752  3 O 1.93-2.01
O 0.0829 0.2850 0.6414  1 Te 1.93, 1 Li 1.97, 1 Fe 2.15
O 0.3665 0.7329 0.3507  1 Te 1.96, 1 Fe 2.01, 1 Li 2.07
O 0.6321 0.7444 0.6419  1 Te 1.96, 1 Li 2.07, 2 Fe 2.09-2.15
Li 0.7061 0.5900 0.4314  4 O 2.04-2.07
Fe 0.7557 0.9901 0.2443  6 O 1.92-2.09
Fe 0.9950 0.0076 0.5009  6 O 2.01-2.25
Fe 0.7464 0.0081 0.7524  6 O 1.96-2.12
O 0.6005 0.8020 0.1357  3 Fe 1.93-1.98, 1 Li 2.03
Fe 0.2557 0.9898 0.2440  6 O 1.93-2.07
O 0.8576 0.2715 0.8660  1 Te 1.96, 1 Li 1.96, 2 Fe 2.09-2.15
O 0.4119 0.7504 0.8797  2 Fe 1.97-2.18, 1 Te 1.98, 1 Li 2.02
O 0.9019 0.7290 0.3492  1 Te 1.96, 1 Fe 2.02, 1 Li 2.04
Te 0.2534 0.4930 0.2460  6 O 1.96-2.00
Te 0.7458 0.5088 0.7545  6 O 1.93-2.01
Li 0.8009 0.3977 0.0656  4 O 1.96-2.10
O 0.1624 0.2339 0.1299  1 Te 2.00, 2 Fe 2.02, 1 Li 2.10
O 0.3790 0.2417 0.3532  1 Te 1.99, 2 Fe 2.07-2.09, 1 Li 2.19